[1]
# CuP3Au GGA-PBE relaxed
# **Calculated formation energy**: 0.938 eV per atom
# **Calculated total energy**: -3.782 eV per atom
# **Excess energy over the best structure of this formula in the dataset**: 0 meV/atom
data_CuP3Au
_chemical_formula_sum 'Cu1 P3 Au1'
_cell_length_a 4.494
_cell_length_b 4.494
_cell_length_c 4.494
_cell_angle_alpha 90.00
_cell_angle_beta 90.00
_cell_angle_gamma 90.00
_space_group_name_H-M_alt 'P m -3 m'
_space_group_IT_number 221
_space_group_name_Hall '-P 4 2 3'
loop_
_atom_site_label
_atom_site_type_symbol
_atom_site_fract_x
_atom_site_fract_y
_atom_site_fract_z
_atom_site_occupancy
Cu1 Cu 0.000 0.000 0.000 1
P1 P 0.000 0.000 0.500 1
Au1 Au 0.500 0.500 0.500 1

---

[2]
# NpIn7 GGA-PBE relaxed
# **Calculated formation energy**: 0.010 eV per atom
# **Calculated total energy**: -4.003 eV per atom
data_NpIn7
_chemical_formula_sum 'Np4 In28'
_cell_length_a 9.397
_cell_length_b 9.397
_cell_length_c 9.397
_cell_angle_alpha 90.00
_cell_angle_beta 90.00
_cell_angle_gamma 90.00
_space_group_name_H-M_alt 'F m -3 m'
_space_group_IT_number 225
_space_group_name_Hall '-F 4 2 3'
loop_
_atom_site_label
_atom_site_type_symbol
_atom_site_fract_x
_atom_site_fract_y
_atom_site_fract_z
_atom_site_occupancy
Np1 Np 0.000 0.000 0.000 1
In1 In 0.000 0.000 0.500 1
In2 In 0.000 0.250 0.250 1

---

[3]
# ScGaPt GGA-PBE relaxed
# **Calculated formation energy**: -1.070 eV per atom
# **Calculated total energy**: -6.203 eV per atom
data_ScGaPt
_chemical_formula_sum 'Sc4 Ga4 Pt4'
_cell_length_a 6.384
_cell_length_b 4.372
_cell_length_c 7.568
_cell_angle_alpha 90.00
_cell_angle_beta 90.00
_cell_angle_gamma 90.00
_space_group_name_H-M_alt 'P n m a'
_space_group_IT_number 62
loop_
_space_group_symop_operation_xyz
'x,y,z'
'-x,-y,-z'
'-x+1/2,-y,z+1/2'
'x+1/2,y,-z+1/2'
'x+1/2,-y+1/2,-z+1/2'
'-x+1/2,y+1/2,z+1/2'
'-x,y+1/2,-z'
'x,-y+1/2,z'
loop_
_atom_site_label
_atom_site_type_symbol
_atom_site_fract_x
_atom_site_fract_y
_atom_site_fract_z
_atom_site_occupancy
Sc1 Sc 0.012 0.250 0.207 1
Ga1 Ga 0.185 0.250 0.576 1
Pt1 Pt 0.235 0.750 0.405 1

---

[4]
# CaCd9Pb2 GGA-PBE relaxed
# **Calculated formation energy**: -0.076 eV per atom
# **Calculated total energy**: -1.547 eV per atom
data_CaCd9Pb2
_chemical_formula_sum 'Ca3 Cd27 Pb6'
_cell_length_a 5.9265
_cell_length_b 5.9265
_cell_length_c 30.0261
_cell_angle_alpha 90.00
_cell_angle_beta 90.00
_cell_angle_gamma 120.00
_space_group_name_H-M_alt 'R -3 m'
_space_group_IT_number 166
_space_group_name_Hall '-R 3 2"'
loop_
_atom_site_label
_atom_site_type_symbol
_atom_site_fract_x
_atom_site_fract_y
_atom_site_fract_z
_atom_site_occupancy
Ca1 Ca 0.0000 0.0000 0.0000 1
Cd1 Cd 0.0000 0.0000 0.3340 1
Cd2 Cd 0.0000 0.0000 0.5000 1
Cd3 Cd 0.0032 0.5016 0.9173 1
Pb1 Pb 0.0000 0.0000 0.1381 1

---

[5]
# TbTm12Th7 GGA-PBE relaxed
# **Calculated formation energy**: 0.269 eV per atom
# **Calculated total energy**: -5.242 eV per atom
data_TbTm12Th7
_chemical_formula_sum 'Tb3 Tm36 Th21'
_cell_length_a 11.8563
_cell_length_b 11.8563
_cell_length_c 15.8496
_cell_angle_alpha 90.00
_cell_angle_beta 90.00
_cell_angle_gamma 120.00
_space_group_name_H-M_alt 'R -3'
_space_group_IT_number 148
_space_group_name_Hall '-R 3'
loop_
_atom_site_label
_atom_site_type_symbol
_atom_site_fract_x
_atom_site_fract_y
_atom_site_fract_z
_atom_site_occupancy
Tb1 Tb 0.0000 0.0000 0.0000 1
Tm1 Tm 0.0212 0.4437 0.7197 1
Tm2 Tm 0.0490 0.5873 0.0843 1
Th1 Th 0.0000 0.0000 0.5000 1
Th2 Th 0.0540 0.1843 0.7909 1

---

[6]
# Pr6Ga3Ru GGA-PBE relaxed
# **Calculated formation energy**: -0.314 eV per atom
# **Calculated total energy**: -5.017 eV per atom
data_Pr6Ga3Ru
_chemical_formula_sum 'Pr12 Ga6 Ru2'
_cell_length_a 5.297
_cell_length_b 8.971
_cell_length_c 12.921
_cell_angle_alpha 90.00
_cell_angle_beta 113.89
_cell_angle_gamma 90.00
_space_group_name_H-M_alt 'P 1 21/c 1'
_space_group_IT_number 14
loop_
_space_group_symop_operation_xyz
'x,y,z'
'-x,-y,-z'
'-x,y+1/2,-z+1/2'
'x,-y+1/2,z+1/2'
loop_
_atom_site_label
_atom_site_type_symbol
_atom_site_fract_x
_atom_site_fract_y
_atom_site_fract_z
_atom_site_occupancy
Pr1 Pr 0.067 0.183 0.072 1
Pr2 Pr 0.256 0.505 0.248 1
Pr3 Pr 0.407 0.155 0.415 1
Ga1 Ga 0.231 0.658 0.738 1
Ga2 Ga 0.500 0.000 0.000 1
Ru1 Ru 0.000 0.000 0.500 1

---

[7]
# MgCr3Si GGA-PBE relaxed
# **Uncorrected formation energy**: 1.844 eV per atom
# **Calculated total energy**: -5.333 eV per atom
# **Excess energy over the best structure of this formula in the dataset**: 1070 meV/atom
data_MgCr3Si
_chemical_formula_sum 'Mg1 Cr3 Si1'
_cell_length_a 4.511
_cell_length_b 4.511
_cell_length_c 4.511
_cell_angle_alpha 90.00
_cell_angle_beta 90.00
_cell_angle_gamma 90.00
_space_group_name_H-M_alt 'P m -3 m'
_space_group_IT_number 221
_space_group_name_Hall '-P 4 2 3'
loop_
_atom_site_label
_atom_site_type_symbol
_atom_site_fract_x
_atom_site_fract_y
_atom_site_fract_z
_atom_site_occupancy
Mg1 Mg 0.000 0.000 0.000 1
Cr1 Cr 0.000 0.000 0.500 1
Si1 Si 0.500 0.500 0.500 1

---

[8]
# HfVIr2 GGA-PBE relaxed
# **Calculated formation energy**: -0.650 eV per atom
# **Calculated total energy**: -9.848 eV per atom
data_HfVIr2
_chemical_formula_sum 'Hf1 V1 Ir2'
_cell_length_a 2.931
_cell_length_b 2.931
_cell_length_c 7.278
_cell_angle_alpha 90.00
_cell_angle_beta 90.00
_cell_angle_gamma 90.00
_space_group_name_H-M_alt 'P 4/m m m'
_space_group_IT_number 123
_space_group_name_Hall '-P 4 2'
loop_
_atom_site_label
_atom_site_type_symbol
_atom_site_fract_x
_atom_site_fract_y
_atom_site_fract_z
_atom_site_occupancy
Hf1 Hf 0.000 0.000 0.000 1
V1 V 0.000 0.000 0.500 1
Ir1 Ir 0.500 0.500 0.281 1

---

[9]
# AcNdAg3 GGA-PBE relaxed
# **Calculated formation energy**: -0.271 eV per atom
# **Calculated total energy**: -3.757 eV per atom
data_AcNdAg3
_chemical_formula_sum 'Ac4 Nd4 Ag12'
_cell_length_a 3.933
_cell_length_b 28.536
_cell_length_c 4.875
_cell_angle_alpha 90.00
_cell_angle_beta 90.00
_cell_angle_gamma 90.00
_space_group_name_H-M_alt 'C m c m'
_space_group_IT_number 63
_space_group_name_Hall '-C 2c 2'
loop_
_atom_site_label
_atom_site_type_symbol
_atom_site_fract_x
_atom_site_fract_y
_atom_site_fract_z
_atom_site_occupancy
Ac1 Ac 0.000 0.075 0.250 1
Nd1 Nd 0.000 0.208 0.750 1
Ag1 Ag 0.000 0.322 0.750 1
Ag2 Ag 0.000 0.378 0.250 1
Ag3 Ag 0.000 0.476 0.250 1

---

[10]
# Tm4ThSc15 GGA-PBE relaxed
# **Calculated formation energy**: 0.050 eV per atom
# **Calculated total energy**: -5.963 eV per atom
data_Tm4ThSc15
_chemical_formula_sum 'Tm4 Th1 Sc15'
_cell_length_a 4.699
_cell_length_b 4.699
_cell_length_c 23.447
_cell_angle_alpha 90.00
_cell_angle_beta 90.00
_cell_angle_gamma 90.00
_space_group_name_H-M_alt 'P 4/m m m'
_space_group_IT_number 123
_space_group_name_Hall '-P 4 2'
loop_
_atom_site_label
_atom_site_type_symbol
_atom_site_fract_x
_atom_site_fract_y
_atom_site_fract_z
_atom_site_occupancy
Tm1 Tm 0.000 0.000 0.100 1
Tm2 Tm 0.000 0.000 0.299 1
Th1 Th 0.000 0.000 0.500 1
Sc1 Sc 0.000 0.500 0.000 1
Sc2 Sc 0.000 0.500 0.200 1
Sc3 Sc 0.000 0.500 0.400 1
Sc4 Sc 0.500 0.500 0.100 1
Sc5 Sc 0.500 0.500 0.298 1
Sc6 Sc 0.500 0.500 0.500 1

---

[11]
# Tb6CeDy2 GGA-PBE relaxed
# **Calculated formation energy**: 0.295 eV per atom
# **Calculated total energy**: -4.473 eV per atom
# **Excess energy over the best structure of this formula in the dataset**: 256 meV/atom
data_Tb6CeDy2
_chemical_formula_sum 'Tb18 Ce3 Dy6'
_cell_length_a 7.2865
_cell_length_b 7.2865
_cell_length_c 18.9540
_cell_angle_alpha 90.00
_cell_angle_beta 90.00
_cell_angle_gamma 120.00
_space_group_name_H-M_alt 'R 3 m'
_space_group_IT_number 160
_space_group_name_Hall 'R 3 -2"'
loop_
_atom_site_label
_atom_site_type_symbol
_atom_site_fract_x
_atom_site_fract_y
_atom_site_fract_z
_atom_site_occupancy
Tb1 Tb 0.0113 0.5057 0.0000 1
Tb2 Tb 0.0360 0.5180 0.8067 1
Ce1 Ce 0.0000 0.0000 0.5530 1
Dy1 Dy 0.0000 0.0000 0.8138 1
Dy2 Dy 0.0000 0.0000 0.9906 1

---

[12]
# ZrB GGA-PBE relaxed
# **Calculated formation energy**: -0.340 eV per atom
# **Calculated total energy**: -7.953 eV per atom
data_ZrB
_chemical_formula_sum 'Zr6 B6'
_cell_length_a 3.687
_cell_length_b 10.398
_cell_length_c 4.814
_cell_angle_alpha 90.00
_cell_angle_beta 90.00
_cell_angle_gamma 90.00
_space_group_name_H-M_alt 'I m m 2'
_space_group_IT_number 44
loop_
_space_group_symop_operation_xyz
'x,y,z'
'-x,-y,z'
'-x,y,z'
'x,-y,z'
'x+1/2,y+1/2,z+1/2'
'-x+1/2,-y+1/2,z+1/2'
'-x+1/2,y+1/2,z+1/2'
'x+1/2,-y+1/2,z+1/2'
loop_
_atom_site_label
_atom_site_type_symbol
_atom_site_fract_x
_atom_site_fract_y
_atom_site_fract_z
_atom_site_occupancy
Zr1 Zr 0.000 0.000 0.000 1
Zr2 Zr 0.000 0.308 0.118 1
B1 B 0.000 0.357 0.626 1
B2 B 0.000 0.500 0.826 1

---

Q: The lowest calculated total energy belongs to which entry?
A: HfVIr2